Material: Th3Co4Ge2
Method: DFT, PBE
State: relaxed

Summary:
DFT formation energy   -0.49 eV per atom
Space-group type   C2/m, No. 12
Magnetization   0.00 μB/cell

```
Th3Co4Ge2
1.0
4.125 0.000 0.000
-2.062 5.089 0.444
0.000 -1.470 7.780
Th Co Ge
3 4 2
Cartesian
0.000 2.930 5.190
0.000 0.000 0.000
2.062 0.689 3.034
2.062 2.203 0.919
0.000 -0.089 5.078
2.062 3.708 3.146
0.000 1.416 7.306
0.000 3.029 1.930
2.062 0.590 6.295
```